Entry 1:
Density functional theory data (PBE-GGA) for a geometry-optimized Zn2Se2I structure.

```
Zn2Se2I
1.0
-2.1205 2.1205 6.3354
2.1205 -2.1205 6.3354
2.1205 2.1205 -6.3354
Zn Se I
2 2 1
Direct
0.1070 0.1070 0.0000
0.8930 0.8930 0.0000
0.2500 0.7500 0.5000
0.7500 0.2500 0.5000
0.5000 0.5000 0.0000
```

As for the energy relative to the lowest polymorph listed for this composition: 0 meV per atom. Its formation energy from raw total energies is 0.05 eV/atom.

---

Entry 2:
Density functional theory data (PBE-GGA) for a geometry-optimized LaCoSi structure.

```
LaCoSi
1.0
0.0000 3.1406 3.1406
3.1406 0.0000 3.1406
3.1406 3.1406 0.0000
La Co Si
1 1 1
Direct
0.0000 0.0000 0.0000
0.7500 0.7500 0.7500
0.5000 0.5000 0.5000
```

Its formation energy from raw total energies is -0.21 eV/atom.

---

Entry 3:
Density functional theory data (PBE-GGA) for a geometry-optimized SrGd2Tc structure.

```
SrGd2Tc
1.0
3.5365 0.0000 0.0000
0.0000 3.5365 0.0000
0.0000 0.0000 9.8157
Sr Gd Tc
1 2 1
Direct
0.0000 0.0000 0.0000
0.5000 0.5000 0.3340
0.5000 0.5000 0.6660
0.0000 0.0000 0.5000
```

As for the energy relative to the lowest polymorph listed for this composition: 0 meV per atom. The calculation puts the energy relative to the elements at 0.06 eV/atom.

---

Entry 4:
Density functional theory data (PBE-GGA) for a geometry-optimized AgPt3S structure.

```
AgPt3S
1.0
4.5048 0.0000 0.0000
0.0000 4.5048 0.0000
0.0000 0.0000 4.5048
Ag Pt S
1 3 1
Direct
0.0000 0.0000 0.0000
0.0000 0.5000 0.5000
0.5000 0.0000 0.5000
0.5000 0.5000 0.0000
0.5000 0.5000 0.5000
```

As for the energy relative to the lowest polymorph listed for this composition: 0 meV per atom. Its formation energy from raw total energies is 0.27 eV/atom.

---

Entry 5:
Density functional theory data (PBE-GGA) for a geometry-optimized NpTl3I7 structure.

```
NpTl3I7
1.0
6.3678 -5.2824 0.0000
6.3678 5.2824 0.0000
-4.5437 0.0000 7.9616
Np Tl I
1 3 7
Direct
0.0000 0.0000 0.0000
0.1264 0.6910 0.4292
0.4212 0.4212 0.9645
0.6910 0.1264 0.4292
0.0295 0.6352 0.7515
0.0990 0.0990 0.7499
0.3062 0.3062 0.2229
0.3230 0.8487 0.2327
0.6352 0.0295 0.7515
0.8055 0.8055 0.1108
0.8487 0.3230 0.2327
```

Its formation energy from raw total energies is -0.68 eV/atom.

---

Entry 6:
Density functional theory data (PBE-GGA) for a geometry-optimized LiTlIn structure.

```
LiTlIn
1.0
-1.7863 1.7863 5.5617
1.7863 -1.7863 5.5617
1.7863 1.7863 -5.5617
Li Tl In
1 1 1
Direct
0.0000 0.0000 0.0000
0.6574 0.6574 0.0000
0.3478 0.3478 0.0000
```

As for the energy relative to the lowest polymorph listed for this composition: 1 meV per atom. The calculation puts the energy relative to the elements at -0.14 eV/atom.

---

Entry 7:
Density functional theory data (PBE-GGA) for a geometry-optimized PmPr4Nd10 structure.

```
PmPr4Nd10
1.0
-5.0071 5.0071 5.3714
5.0071 -5.0071 5.3714
5.0071 5.0071 -5.3714
Pm Pr Nd
1 4 10
Direct
0.0000 0.0000 0.0000
0.0566 0.6723 0.7289
0.3277 0.0566 0.3843
0.6723 0.9434 0.6157
0.9434 0.3277 0.2711
0.1340 0.2236 0.6770
0.2236 0.5466 0.0896
0.2500 0.7500 0.5000
0.4534 0.5430 0.6770
0.4570 0.1340 0.9104
0.5430 0.8660 0.0896
0.5466 0.4570 0.3230
0.7500 0.2500 0.5000
0.7764 0.4534 0.9104
0.8660 0.7764 0.3230
```

The calculation puts the energy relative to the elements at 0.29 eV/atom.

---

Entry 8:
Density functional theory data (PBE-GGA) for a geometry-optimized CsGa3Ru structure.

```
CsGa3Ru
1.0
4.9644 0.0000 0.0000
0.0000 4.9644 0.0000
0.0000 0.0000 4.9644
Cs Ga Ru
1 3 1
Direct
0.0000 0.0000 0.0000
0.0000 0.5000 0.5000
0.5000 0.0000 0.5000
0.5000 0.5000 0.0000
0.5000 0.5000 0.5000
```

As for the energy relative to the lowest polymorph listed for this composition: 0 meV per atom. The calculation puts the energy relative to the elements at -0.23 eV/atom.

---

Entry 9:
Density functional theory data (PBE-GGA) for a geometry-optimized Tc2Os structure.

```
Tc2Os
1.0
4.9901 -1.3802 0.0000
4.9901 1.3802 0.0000
-1.5626 0.0000 6.2930
Tc Os
4 2
Direct
0.0000 0.0000 0.0000
0.0557 0.0557 0.6111
0.3877 0.3877 0.2787
0.7233 0.7233 0.9447
0.3325 0.3325 0.6672
0.6672 0.6672 0.3345
```

As for the energy relative to the lowest polymorph listed for this composition: 9 meV per atom. The calculation puts the energy relative to the elements at -0.06 eV/atom.

---

Entry 10:
Density functional theory data (PBE-GGA) for a geometry-optimized As3OF structure.

```
As3OF
1.0
4.3711 0.0000 0.0000
0.0000 4.3711 0.0000
0.0000 0.0000 4.3711
As O F
3 1 1
Direct
0.0000 0.0000 0.5000
0.0000 0.5000 0.0000
0.5000 0.0000 0.0000
0.0000 0.0000 0.0000
0.5000 0.5000 0.5000
```

As for the energy relative to the lowest polymorph listed for this composition: 0 meV per atom. Its formation energy from raw total energies is 0.20 eV/atom.

---

Entry 11:
Density functional theory data (PBE-GGA) for a geometry-optimized YMgNO2 structure.

```
YMgNO2
1.0
4.3386 0.0000 0.0000
0.0000 4.3386 0.0000
0.0000 0.0000 4.4811
Y Mg N O
1 1 1 2
Direct
0.0000 0.0000 0.0000
0.5000 0.5000 0.5000
0.0000 0.0000 0.5000
0.0000 0.5000 0.0000
0.5000 0.0000 0.0000
```

Its formation energy from raw total energies is -0.83 eV/atom.

---

Entry 12:
Density functional theory data (PBE-GGA) for a geometry-optimized Ta4Nb4Re structure.

```
Ta4Nb4Re
1.0
-4.1287 4.1287 2.3951
4.1287 -4.1287 2.3951
4.1287 4.1287 -2.3951
Ta Nb Re
4 4 1
Direct
0.1649 0.1649 0.3298
0.1649 0.8351 0.0000
0.8351 0.1649 0.0000
0.8351 0.8351 0.6702
0.1740 0.5000 0.6740
0.5000 0.1740 0.6740
0.5000 0.8260 0.3260
0.8260 0.5000 0.3260
0.5000 0.5000 0.0000
```

As for the energy relative to the lowest polymorph listed for this composition: 243 meV per atom. The calculation puts the energy relative to the elements at 0.12 eV/atom.

---

Entry 13:
Density functional theory data (PBE-GGA) for a geometry-optimized YTl4Ge2 structure.

```
YTl4Ge2
1.0
-2.9700 2.9700 7.1155
2.9700 -2.9700 7.1155
2.9700 2.9700 -7.1155
Y Tl Ge
1 4 2
Direct
0.0000 0.0000 0.0000
0.0000 0.5000 0.5000
0.2175 0.2175 0.0000
0.5000 0.0000 0.5000
0.7825 0.7825 0.0000
0.4128 0.4128 0.0000
0.5872 0.5872 0.0000
```

The calculation puts the energy relative to the elements at 0.38 eV/atom.

---

Entry 14:
Density functional theory data (PBE-GGA) for a geometry-optimized LaNi2Os structure.

```
LaNi2Os
1.0
0.0000 3.2140 3.2140
3.2140 0.0000 3.2140
3.2140 3.2140 0.0000
La Ni Os
1 2 1
Direct
0.0000 0.0000 0.0000
0.2500 0.2500 0.2500
0.5000 0.5000 0.5000
0.7500 0.7500 0.7500
```

As for the energy relative to the lowest polymorph listed for this composition: 579 meV per atom. The calculation puts the energy relative to the elements at 0.44 eV/atom.

---

Entry 15:
Density functional theory data (PBE-GGA) for a geometry-optimized HoSi2Ir2 structure.

```
HoSi2Ir2
1.0
4.1229 0.0000 0.0000
0.0000 4.1229 0.0000
0.0000 0.0000 9.8479
Ho Si Ir
2 4 4
Direct
0.2500 0.2500 0.2453
0.7500 0.7500 0.7547
0.2500 0.2500 0.6313
0.2500 0.7500 0.0000
0.7500 0.2500 0.0000
0.7500 0.7500 0.3687
0.2500 0.2500 0.8712
0.2500 0.7500 0.5000
0.7500 0.2500 0.5000
0.7500 0.7500 0.1288
```

Its formation energy from raw total energies is -1.06 eV/atom.

---

Entry 16:
Density functional theory data (PBE-GGA) for a geometry-optimized SmN2Cl4 structure.

```
SmN2Cl4
1.0
2.4111 1.3921 9.8630
-2.4111 1.3921 9.8630
0.0000 -2.7841 9.8630
Sm N Cl
1 2 4
Direct
0.0000 0.0000 0.0000
0.2171 0.2171 0.2171
0.7829 0.7829 0.7829
0.0941 0.0941 0.0941
0.3110 0.3110 0.3110
0.6890 0.6890 0.6890
0.9059 0.9059 0.9059
```

Its formation energy from raw total energies is 0.35 eV/atom.

---

Entry 17:
Density functional theory data (PBE-GGA) for a geometry-optimized Na2HoNb5O15 structure.

```
Na2HoNb5O15
1.0
12.6856 0.0000 0.0000
0.0000 12.6856 0.0000
0.0000 0.0000 3.9279
Na Ho Nb O
4 2 10 30
Direct
0.1857 0.3143 0.0000
0.3143 0.8143 0.0000
0.6857 0.1857 0.0000
0.8143 0.6857 0.0000
0.0000 0.0000 0.0000
0.5000 0.5000 0.0000
0.0000 0.5000 0.5000
0.0777 0.7882 0.5000
0.2118 0.0777 0.5000
0.2882 0.5777 0.5000
0.4223 0.2882 0.5000
0.5000 0.0000 0.5000
0.5777 0.7118 0.5000
0.7118 0.4223 0.5000
0.7882 0.9223 0.5000
0.9223 0.2118 0.5000
0.0003 0.3410 0.5000
0.0000 0.5000 0.0000
0.9997 0.6590 0.5000
0.0548 0.1309 0.5000
0.0855 0.8168 0.0000
0.1309 0.9452 0.5000
0.1590 0.4997 0.5000
0.1832 0.0855 0.0000
0.2242 0.7242 0.5000
0.2758 0.2242 0.5000
0.3168 0.5855 0.0000
0.3410 0.9997 0.5000
0.3691 0.4452 0.5000
0.4145 0.3168 0.0000
0.4452 0.6309 0.5000
0.5000 0.0000 0.0000
0.5003 0.1590 0.5000
0.4997 0.8410 0.5000
0.5548 0.3691 0.5000
0.5855 0.6832 0.0000
0.6309 0.5548 0.5000
0.6590 0.0003 0.5000
0.6832 0.4145 0.0000
0.7242 0.7758 0.5000
0.7758 0.2758 0.5000
0.8168 0.9145 0.0000
0.8410 0.5003 0.5000
0.8691 0.0548 0.5000
0.9145 0.1832 0.0000
0.9452 0.8691 0.5000
```

Its formation energy from raw total energies is -2.57 eV/atom.

---

Entry 18:
Density functional theory data (PBE-GGA) for a geometry-optimized Cs3Ge2Se4 structure.

```
Cs3Ge2Se4
1.0
7.2412 -5.8210 0.0000
7.2412 5.8210 0.0000
-1.6272 0.0000 8.5759
Cs Ge Se
6 4 8
Direct
0.1104 0.8896 0.7500
0.2266 0.5001 0.3896
0.5001 0.2266 0.8896
0.4999 0.7734 0.1104
0.7734 0.4999 0.6104
0.8896 0.1104 0.2500
0.0837 0.3231 0.9235
0.3231 0.0837 0.4235
0.6769 0.9163 0.5765
0.9163 0.6769 0.0765
0.1482 0.2235 0.6149
0.1797 0.5626 0.9800
0.2235 0.1482 0.1149
0.4374 0.8203 0.5200
0.5626 0.1797 0.4800
0.7765 0.8518 0.8851
0.8203 0.4374 0.0200
0.8518 0.7765 0.3851
```

Its formation energy from raw total energies is -0.79 eV/atom.

---

Entry 19:
Density functional theory data (PBE-GGA) for a geometry-optimized ScGeTe2 structure.

```
ScGeTe2
1.0
-3.3320 3.3320 6.5773
3.3320 -3.3320 6.5773
3.3320 3.3320 -6.5773
Sc Ge Te
2 2 4
Direct
0.0000 0.0000 0.0000
0.7500 0.2500 0.5000
0.2500 0.7500 0.5000
0.5000 0.5000 0.0000
0.1152 0.6250 0.9902
0.3750 0.3652 0.4902
0.6348 0.1250 0.0098
0.8750 0.8848 0.5098
```

Its formation energy from raw total energies is -0.28 eV/atom.

---

Entry 20:
Density functional theory data (PBE-GGA) for a geometry-optimized SrTlInBi structure.

```
SrTlInBi
1.0
0.0000 4.0173 4.0173
4.0173 0.0000 4.0173
4.0173 4.0173 0.0000
Sr Tl In Bi
1 1 1 1
Direct
0.0000 0.0000 0.0000
0.7500 0.7500 0.7500
0.5000 0.5000 0.5000
0.2500 0.2500 0.2500
```

As for the energy relative to the lowest polymorph listed for this composition: 117 meV per atom. The calculation puts the energy relative to the elements at -0.29 eV/atom.

---

Number 1: size of the total moment 0.00 μB/cell, E_tot -10.79 eV for the cell shown. Number 2: size of the total moment 0.92 μB/cell, E_tot -18.10 eV for the cell shown. Number 3: size of the total moment 14.31 μB/cell, E_tot -39.97 eV for the cell shown. Number 4: size of the total moment 0.00 μB/cell, E_tot -23.74 eV for the cell shown. Number 5: size of the total moment 3.00 μB/cell, E_tot -38.40 eV for the cell shown. Number 6: size of the total moment 0.00 μB/cell, E_tot -7.45 eV for the cell shown. Number 7: size of the total moment 0.00 μB/cell, E_tot -67.24 eV for the cell shown. Number 8: size of the total moment 0.00 μB/cell, E_tot -20.37 eV for the cell shown. Number 9: size of the total moment 0.00 μB/cell, E_tot -64.25 eV for the cell shown. Number 10: size of the total moment 0.00 μB/cell, E_tot -19.80 eV for the cell shown. Number 11: size of the total moment 2.01 μB/cell, E_tot -30.43 eV for the cell shown. Number 12: size of the total moment 0.00 μB/cell, E_tot -99.09 eV for the cell shown. Number 13: size of the total moment 0.00 μB/cell, E_tot -22.53 eV for the cell shown. Number 14: size of the total moment 1.07 μB/cell, E_tot -25.95 eV for the cell shown. Number 15: size of the total moment 0.00 μB/cell, E_tot -76.86 eV for the cell shown. Number 16: size of the total moment 5.00 μB/cell, E_tot -26.27 eV for the cell shown. Number 17: size of the total moment 0.00 μB/cell, E_tot -381.89 eV for the cell shown. Number 18: size of the total moment 0.00 μB/cell, E_tot -65.70 eV for the cell shown. Number 19: size of the total moment 1.22 μB/cell, E_tot -36.69 eV for the cell shown. Number 20: size of the total moment 0.00 μB/cell, E_tot -11.81 eV for the cell shown.